{"formula": "HfSb2TeP", "functional": "PBE", "state": "relaxed", "lattice": [[5.548, 0.000, 0.000], [0.000, 5.548, 0.000], [0.000, 0.000, 5.439]], "species": ["Hf", "Sb", "Sb", "Te", "P"], "fractional_positions": [[0.000, 0.000, 0.000], [0.000, 0.500, 0.000], [0.500, 0.000, 0.000], [0.000, 0.000, 0.500], [0.500, 0.500, 0.500]], "e_form_raw_ev_per_atom": 0.6676, "de_polymorph_mev_per_atom": 67.9, "total_energy_ev_per_atom": -4.68, "m_tot_mub_per_cell": 1.65}